{"formula": "CdMoPbF6", "functional": "PBE+U", "state": "relaxed", "lattice": [[6.287, 0.000, 0.000], [-3.144, 5.445, 0.000], [0.000, 0.000, 9.642]], "species": ["Cd", "Cd", "Mo", "Mo", "Pb", "Pb", "F", "F", "F", "F", "F", "F", "F", "F", "F", "F", "F", "F"], "fractional_positions": [[0.000, 0.000, 0.000], [0.000, 0.000, 0.500], [0.333, 0.667, 0.250], [0.667, 0.333, 0.750], [0.333, 0.667, 0.750], [0.667, 0.333, 0.250], [0.046, 0.382, 0.134], [0.046, 0.663, 0.366], [0.337, 0.382, 0.366], [0.337, 0.954, 0.134], [0.382, 0.046, 0.634], [0.382, 0.337, 0.866], [0.618, 0.663, 0.134], [0.618, 0.954, 0.366], [0.663, 0.046, 0.866], [0.663, 0.618, 0.634], [0.954, 0.337, 0.634], [0.954, 0.618, 0.866]], "dft_energy_ev_per_atom": -4.71, "space_group": "No. 163", "crystal_system": "trigonal"}